Record 1
The following is a DFT calculation (PBE-GGA) of a relaxed ZrBe2BAs crystal.

Output
Total magnetization (μB/f.u.): 0.0
DFT formation energy (kJ/mol of formula units): 948

Cell: 4.868 4.868 5.083 Å, 90.00 90.00 90.00°
Atoms (fractional coordinates):
Zr 0.000 0.000 0.000
Be 0.000 0.500 0.000
Be 0.500 0.000 0.000
B 0.500 0.500 0.500
As 0.000 0.000 0.500

Record 2
The following is a DFT calculation (PBE-GGA) of a relaxed Bi2B2As crystal.

Output
Total magnetization (μB/f.u.): 0.0
DFT formation energy (kJ/mol of formula units): 429

Cell: 5.049 5.049 5.049 Å, 114.83 114.83 99.21°
Atoms (fractional coordinates):
Bi 0.250 0.750 0.500
Bi 0.750 0.250 0.500
B 0.126 0.126 0.000
B 0.874 0.874 0.000
As 0.500 0.500 0.000

Record 3
The following is a DFT calculation (PBE-GGA) of a relaxed BiB3As crystal.

Output
Energy relative to the lowest polymorph listed for this composition (eV/f.u.): 0.00
Total magnetization (μB/f.u.): 0.0
DFT formation energy (kJ/mol of formula units): 790

Cell: 4.250 4.250 4.250 Å, 90.00 90.00 90.00°
Atoms (fractional coordinates):
Bi 0.000 0.000 0.000
B 0.000 0.500 0.500
B 0.500 0.000 0.500
B 0.500 0.500 0.000
As 0.500 0.500 0.500

Record 4
The following is a DFT calculation (PBE-GGA) of a relaxed Bi2B2As crystal.

Output
Total magnetization (μB/f.u.): 0.0
DFT formation energy (kJ/mol of formula units): 428

Cell: 7.387 7.387 3.751 Å, 90.00 90.00 90.00°
Atoms (fractional coordinates):
Bi 0.228 0.272 0.000
Bi 0.272 0.772 0.000
Bi 0.728 0.228 0.000
Bi 0.772 0.728 0.000
B 0.077 0.423 0.500
B 0.423 0.923 0.500
B 0.577 0.077 0.500
B 0.923 0.577 0.500
As 0.000 0.000 0.500
As 0.500 0.500 0.500

Record 5
The following is a DFT calculation (PBE-GGA) of a relaxed Bi2BAs2 crystal.

Output
Energy relative to the lowest polymorph listed for this composition (eV/f.u.): 0.92
Total magnetization (μB/f.u.): 0.0
DFT formation energy (kJ/mol of formula units): 278

Cell: 6.180 6.180 6.184 Å, 90.00 90.00 90.00°
Atoms (fractional coordinates):
Bi 0.192 0.308 0.000
Bi 0.308 0.808 0.000
Bi 0.692 0.192 0.000
Bi 0.808 0.692 0.000
B 0.000 0.000 0.500
B 0.500 0.500 0.500
As 0.160 0.340 0.500
As 0.340 0.840 0.500
As 0.660 0.160 0.500
As 0.840 0.660 0.500

Record 6
The following is a DFT calculation (PBE-GGA) of a relaxed Bi3BAs crystal.

Output
Energy relative to the lowest polymorph listed for this composition (eV/f.u.): 0.00
Total magnetization (μB/f.u.): 0.0
DFT formation energy (kJ/mol of formula units): 395

Cell: 5.055 5.055 5.055 Å, 90.00 90.00 90.00°
Atoms (fractional coordinates):
Bi 0.000 0.000 0.500
Bi 0.000 0.500 0.000
Bi 0.500 0.000 0.000
B 0.000 0.000 0.000
As 0.500 0.500 0.500